Record 1
InB2W | PBE-GGA | optimized geometry

The space group is I-42d (No. 122) and the conventional cell measures 5.440, 5.440 and 8.983 Å, with angles of 90.00, 90.00 and 90.00 degrees. The distinct sites, in fractional coordinates, are In at (0.000, 0.000, 0.000), B at (0.207, 0.250, 0.625) and W at (0.000, 0.000, 0.500).


Record 2
In2BW | PBE-GGA | optimized geometry

The space group is I-42d (No. 122) and the conventional cell measures 8.372, 8.372 and 4.414 Å, with angles of 90.00, 90.00 and 90.00 degrees. The distinct sites, in fractional coordinates, are In at (0.127, 0.250, 0.125), B at (0.000, 0.000, 0.000) and W at (0.000, 0.000, 0.500).


Record 3
InB3W | PBE-GGA | optimized geometry

The space group is Pm-3m (No. 221) and the conventional cell measures 4.279, 4.279 and 4.279 Å, with angles of 90.00, 90.00 and 90.00 degrees. The distinct sites, in fractional coordinates, are In at (0.000, 0.000, 0.000), B at (0.000, 0.500, 0.500) and W at (0.500, 0.500, 0.500).

Its excess energy over the best structure of this formula in the dataset is 0.000 eV per atom.


Record 4
InBW3 | PBE-GGA | optimized geometry

The space group is Pm-3m (No. 221) and the conventional cell measures 4.863, 4.863 and 4.863 Å, with angles of 90.00, 90.00 and 90.00 degrees. The distinct sites, in fractional coordinates, are In at (0.000, 0.000, 0.000), B at (0.500, 0.500, 0.500) and W at (0.000, 0.000, 0.500).

Its excess energy over the best structure of this formula in the dataset is 3.419 eV per atom.


Size of the total moment for every record listed, in sequence, given in Bohr magnetons per cell: 0.00, 1.75, 0.00, 0.00.
Energy of formation for every record listed, in sequence, given in eV per atom: 0.95, 0.99, 1.23, 3.88.
Raw total energy for every record listed, in sequence, given in eV per atom: -6.308, -5.289, -5.911, -5.776.